A geometry-optimized PmScAg2 structure, computed with GGA-PBE.

DOS at the Fermi energy: 2.4 states/eV per cell
total energy: -4.4599 eV per atom
energy of formation: -102 kJ/mol of formula units
energy above the most stable polymorph in this dataset: 0.000 eV/f.u.
size of the total moment: 0.00 μB/cell
ρ: 7.36 g/cm3

a = 3.522 Å, b = 3.522 Å, c = 7.384 Å
α = 90.00°, β = 90.00°, γ = 90.00°
Space group P4/mmm (No. 123)
One atom of each set of equivalent atoms:
1 Pm 0.000 0.000 0.000 (multiplicity 1)
2 Sc 0.000 0.000 0.500 (multiplicity 1)
3 Ag 0.500 0.500 0.285 (multiplicity 2)